The following is a DFT calculation (PBE) of a geometry-optimized SrIr2Ru structure.

Structure (extended XYZ):
```
4
Lattice="-5.597 -0.945 1.379 -4.069 -1.157 -4.028 4.926 -1.305 2.855" Properties=species:S:1:pos:R:3 pbc="T T T"
Ir -9.376 -2.039 -2.570
Ir -5.124 -1.114 -1.404
Ru -2.752 -1.651 1.454
Sr -1.988 -1.757 -1.249
```

Results
- SG: No. 71


The following is a DFT calculation (PBE) of a geometry-optimized SrIr2Ru structure.

Structure (extended XYZ):
```
4
Lattice="2.807 0.000 0.000 0.000 3.789 0.000 0.000 0.000 7.070" Properties=species:S:1:pos:R:3 pbc="T T T"
Ir 0.000 0.000 0.418
Ir 1.404 1.894 1.832
Ru 0.000 0.000 3.012
Sr 1.404 1.894 5.342
```

Results
- SG: No. 25


The following is a DFT calculation (PBE) of a geometry-optimized SrIr2Ru structure.

Structure (extended XYZ):
```
4
Lattice="9.785 -0.020 -0.012 9.372 2.814 -0.012 9.372 1.367 2.459" Properties=species:S:1:pos:R:3 pbc="T T T"
Ir 28.229 4.116 2.410
Ir 14.565 2.124 1.244
Ru 7.132 1.040 0.609
Sr 21.397 3.120 1.827
```

Results
- SG: No. 166


The following is a DFT calculation (PBE) of a geometry-optimized SrIr2Ru structure.

Structure (extended XYZ):
```
4
Lattice="4.673 0.000 0.000 2.337 4.047 0.000 2.337 1.349 3.816" Properties=species:S:1:pos:R:3 pbc="T T T"
Ir 0.000 0.000 0.000
Ir 2.337 1.349 0.954
Ru 4.673 2.698 1.908
Sr 7.010 4.047 2.862
```

Results
- SG: No. 216


The following is a DFT calculation (PBE) of a geometry-optimized SrIr2Ru structure.

Structure (extended XYZ):
```
4
Lattice="-3.865 -4.005 -1.940 1.430 -4.125 -3.960 0.565 2.576 5.272" Properties=species:S:1:pos:R:3 pbc="T T T"
Ir -2.360 -7.883 -5.720
Ir -2.254 -2.733 0.201
Ru -1.298 -4.336 -3.147
Sr 0.392 -2.798 -0.812
```

Results
- SG: No. 44


The following is a DFT calculation (PBE) of a geometry-optimized SrIr2Ru structure.

Structure (extended XYZ):
```
4
Lattice="-1.366 4.145 2.609 -0.759 -4.162 2.821 2.627 0.218 1.029" Properties=species:S:1:pos:R:3 pbc="T T T"
Ir 0.000 0.000 0.000
Ir -1.062 -0.009 2.715
Ru 0.630 2.182 1.819
Sr 0.934 -1.972 1.925
```

Results
- SG: No. 65


The following is a DFT calculation (PBE) of a geometry-optimized SrIr2Ru structure.

Structure (extended XYZ):
```
8
Lattice="-4.825 3.116 -4.985 -5.827 -1.684 4.588 -5.036 3.233 1.094" Properties=species:S:1:pos:R:3 pbc="T T T"
Ru 0.000 0.000 0.000
Ru -7.594 3.533 -2.045
Ir -5.319 2.749 -2.595
Ir -5.188 -0.059 2.844
Ir -7.390 3.072 0.371
Ir -13.479 3.567 0.773
Sr -5.326 0.716 -0.199
Sr -8.095 1.132 2.741
```

Results
- SG: No. 122


The following is a DFT calculation (PBE) of a geometry-optimized Sr2IrRu structure.

Structure (extended XYZ):
```
4
Lattice="-2.343 -2.801 2.418 3.388 -3.381 -0.634 4.210 0.006 4.086" Properties=species:S:1:pos:R:3 pbc="T T T"
Ir 4.519 -2.265 1.754
Ru 3.796 -3.363 3.748
Sr 7.168 -3.311 3.109
Sr 1.171 -2.300 2.436
```

Results
- SG: No. 38


The following is a DFT calculation (PBE) of a geometry-optimized Sr2IrRu structure.

Structure (extended XYZ):
```
4
Lattice="-1.402 -4.677 1.160 -1.256 -4.381 -2.102 5.327 -2.657 -0.003" Properties=species:S:1:pos:R:3 pbc="T T T"
Ir 2.001 -8.787 -0.709
Ru 0.667 -2.929 -0.236
Sr 5.323 -2.658 -0.003
Sr 1.338 -5.857 -0.472
```

Results
- SG: No. 12


The following is a DFT calculation (PBE) of a geometry-optimized SrIrRu structure.

Structure (extended XYZ):
```
3
Lattice="-1.817 -2.030 -1.202 2.769 0.325 -1.046 2.412 -5.017 4.829" Properties=species:S:1:pos:R:3 pbc="T T T"
Ir 0.075 -0.155 0.149
Ru 0.439 -2.758 0.306
Sr 2.850 -3.810 2.126
```

Results
- SG: No. 156


The following is a DFT calculation (PBE) of a geometry-optimized Sr2Ir2Ru structure.

Structure (extended XYZ):
```
10
Lattice="6.702 0.000 0.000 0.000 6.702 0.000 0.000 0.000 4.950" Properties=species:S:1:pos:R:3 pbc="T T T"
Ru 0.000 0.000 0.000
Ru 3.351 3.351 0.000
Ir 2.465 5.816 0.000
Ir 5.816 4.237 0.000
Ir 4.237 0.886 0.000
Ir 0.886 2.465 0.000
Sr 1.212 4.563 2.475
Sr 4.563 5.490 2.475
Sr 5.490 2.139 2.475
Sr 2.139 1.212 2.475
```

Results
- SG: No. 127


The following is a DFT calculation (PBE) of a geometry-optimized SrIrRu structure.

Structure (extended XYZ):
```
3
Lattice="-4.138 -3.048 3.112 -2.970 -5.092 -1.162 5.079 3.136 0.684" Properties=species:S:1:pos:R:3 pbc="T T T"
Ir -0.325 -0.372 0.089
Ru -4.400 -5.039 1.207
Sr -2.383 -2.729 0.654
```

Results
- SG: No. 44


The following is a DFT calculation (PBE) of a geometry-optimized Sr2IrRu structure.

Structure (extended XYZ):
```
4
Lattice="5.036 0.000 0.000 2.518 4.362 0.000 2.518 1.454 4.112" Properties=species:S:1:pos:R:3 pbc="T T T"
Ir 5.036 2.908 2.056
Ru 7.554 4.362 3.084
Sr 0.000 0.000 0.000
Sr 2.518 1.454 1.028
```

Results
- SG: No. 216


The following is a DFT calculation (PBE) of a geometry-optimized SrIrRu structure.

Structure (extended XYZ):
```
3
Lattice="-0.458 -1.326 4.315 1.809 -3.929 1.370 3.596 0.000 2.767" Properties=species:S:1:pos:R:3 pbc="T T T"
Ir 2.474 -2.627 4.226
Ru 3.711 -3.941 6.340
Sr 0.000 0.000 0.000
```

Results
- SG: No. 216


The following is a DFT calculation (PBE) of a geometry-optimized Sr4IrRu structure.

Structure (extended XYZ):
```
6
Lattice="-0.500 3.506 5.207 -5.118 3.550 0.926 -4.154 -1.569 4.465" Properties=species:S:1:pos:R:3 pbc="T T T"
Sr -3.917 3.807 6.575
Sr -5.739 1.277 6.205
Sr -6.220 3.829 4.440
Sr -3.668 2.059 3.979
Ir -7.329 4.115 7.950
Ru 0.000 0.000 0.000
```

Results
- SG: No. 216


The following is a DFT calculation (PBE) of a geometry-optimized Sr2IrRu2 structure.

Structure (extended XYZ):
```
10
Lattice="-3.103 3.555 -4.718 -5.211 -4.158 0.293 -2.079 2.853 3.517" Properties=species:S:1:pos:R:3 pbc="T T T"
Ru -5.729 -2.306 -1.516
Ru -5.970 0.518 -3.949
Ru -2.584 1.703 -2.909
Ru -2.343 -1.121 -0.476
Ir 0.000 0.000 0.000
Ir -4.157 -0.302 -2.213
Sr -5.168 -0.763 1.094
Sr -7.415 0.459 -1.226
Sr -5.224 3.013 -2.003
Sr -2.977 1.791 0.317
```

Results
- SG: No. 127


The following is a DFT calculation (PBE) of a geometry-optimized SrIr2Ru structure.

Structure (extended XYZ):
```
4
Lattice="-2.283 -3.542 -1.203 -0.475 -0.622 2.735 -5.300 2.995 1.241" Properties=species:S:1:pos:R:3 pbc="T T T"
Ir -0.303 0.023 0.508
Ir -2.645 -0.963 -0.125
Ru -2.380 0.914 1.828
Sr -5.618 0.044 2.550
```

Results
- SG: No. 38


The following is a DFT calculation (PBE) of a geometry-optimized SrIr2Ru structure.

Structure (extended XYZ):
```
4
Lattice="9.876 -0.008 -0.005 9.466 2.814 -0.005 9.466 1.373 2.456" Properties=species:S:1:pos:R:3 pbc="T T T"
Ir 28.546 4.141 2.424
Ir 7.163 1.039 0.608
Ru 14.717 2.135 1.250
Sr 21.594 3.133 1.834
```

Results
- SG: No. 160


The following is a DFT calculation (PBE) of a geometry-optimized Sr2IrRu structure.

Structure (extended XYZ):
```
4
Lattice="5.967 -0.316 0.051 2.534 5.412 -0.051 -3.977 -3.004 3.297" Properties=species:S:1:pos:R:3 pbc="T T T"
Ir 4.877 2.923 0.000
Ru 2.472 -0.775 1.674
Sr 8.364 5.014 0.000
Sr 1.563 2.574 1.623
```

Results
- SG: No. 44


The following is a DFT calculation (PBE) of a geometry-optimized Sr2IrRu structure.

Structure (extended XYZ):
```
4
Lattice="-5.171 0.291 -1.585 -2.907 -1.798 4.202 3.851 3.807 -0.132" Properties=species:S:1:pos:R:3 pbc="T T T"
Ir -1.548 0.628 2.689
Ru -2.680 1.672 -0.204
Sr 0.000 0.000 0.000
Sr -4.039 -0.753 1.309
```

Results
- SG: No. 139


Number 1: D(E_F) 4.21 states/eV/f.u., energy of formation 0.4810 eV/atom. Number 2: D(E_F) 4.64 states/eV/f.u., energy of formation 0.3658 eV/atom. Number 3: D(E_F) 8.14 states/eV/f.u., energy of formation 0.6098 eV/atom. Number 4: D(E_F) 5.45 states/eV/f.u., energy of formation 0.7574 eV/atom. Number 5: D(E_F) 5.07 states/eV/f.u., energy of formation 0.4300 eV/atom. Number 6: D(E_F) 3.64 states/eV/f.u., energy of formation 0.4723 eV/atom. Number 7: D(E_F) 2.04 states/eV/f.u., energy of formation 0.6012 eV/atom. Number 8: D(E_F) 3.40 states/eV/f.u., energy of formation -0.0021 eV/atom. Number 9: D(E_F) 3.01 states/eV/f.u., energy of formation 0.7122 eV/atom. Number 10: D(E_F) 4.38 states/eV/f.u., energy of formation 0.8810 eV/atom. Number 11: D(E_F) 7.08 states/eV/f.u., energy of formation 0.0777 eV/atom. Number 12: D(E_F) 2.89 states/eV/f.u., energy of formation 0.2036 eV/atom. Number 13: D(E_F) 4.52 states/eV/f.u., energy of formation 0.6009 eV/atom. Number 14: D(E_F) 5.82 states/eV/f.u., energy of formation 0.8001 eV/atom. Number 15: D(E_F) 9.94 states/eV/f.u., energy of formation 1.3420 eV/atom. Number 16: D(E_F) 4.37 states/eV/f.u., energy of formation 0.2353 eV/atom. Number 17: D(E_F) 4.09 states/eV/f.u., energy of formation 0.3465 eV/atom. Number 18: D(E_F) 6.35 states/eV/f.u., energy of formation 0.6945 eV/atom. Number 19: D(E_F) 2.68 states/eV/f.u., energy of formation 0.1362 eV/atom. Number 20: D(E_F) 5.72 states/eV/f.u., energy of formation 0.5591 eV/atom.